Entry 1:
Entry from the Alexandria database: crystalline Y6HC2O2 at its relaxed geometry (PBE).

Properties
Calculated total energy, eV per atom: -7.711
Magnetization, μB per formula unit: 0.00

a = 6.1064 Å, b = 10.6659 Å, c = 6.1122 Å
α = 90.00°, β = 109.17°, γ = 90.00°
Closest atoms and distances in Å follow each position.
Space group C2/m (No. 12)
Unique sites:
Y: 0.2442 0.0000 0.2458 (multiplicity 4)  2 C 2.48, 1 H 2.50, 2 O 2.57
Y: 0.2448 0.1788 0.7502 (multiplicity 8)  2 O 2.37-2.52, 2 C 2.43-2.47, 1 H 2.61
H: 0.0000 0.5000 0.0000 (multiplicity 2)  6 Y 2.50-2.61
C: 0.0000 0.1667 0.0000 (multiplicity 4)  6 Y 2.43-2.48
O: 0.0000 0.3289 0.5000 (multiplicity 4)  6 Y 2.37-2.57

=====

Entry 2:
Entry from the Alexandria database: crystalline Zn7H10C2O16 at its relaxed geometry (PBE).

Properties
Calculated total energy, eV per atom: -5.268
Magnetization, μB per formula unit: 0.00

a = 15.2235 Å, b = 5.5079 Å, c = 16.1774 Å
α = 90.00°, β = 95.08°, γ = 90.00°
Closest atoms and distances in Å follow each position.
Space group C2/c (No. 15)
Unique sites:
Zn: 0.0000 0.2107 0.2500 (multiplicity 4)  4 O 1.93-2.00
Zn: 0.1390 0.2408 0.9617 (multiplicity 8)  4 O 1.98-2.04
Zn: 0.1985 0.2268 0.1860 (multiplicity 8)  5 O 2.08-2.21
Zn: 0.2189 0.2561 0.5906 (multiplicity 8)  6 O 2.09-2.28
H: 0.0827 0.0042 0.5727 (multiplicity 8)  1 O 0.99
H: 0.1016 0.1300 0.7172 (multiplicity 8)  1 O 0.98
H: 0.1223 0.3322 0.4502 (multiplicity 8)  1 O 0.98
H: 0.1641 0.4509 0.3145 (multiplicity 8)  1 O 0.98
H: 0.1676 0.0331 0.8308 (multiplicity 8)  1 O 1.02
C: 0.0217 0.4137 0.6276 (multiplicity 8)  3 O 1.30
O: 0.0084 0.2411 0.9222 (multiplicity 8)  1 C 1.30
O: 0.0330 0.4252 0.3479 (multiplicity 8)  1 C 1.30
O: 0.1049 0.4206 0.6536 (multiplicity 8)  1 C 1.30
O: 0.1076 0.0266 0.2464 (multiplicity 8)  1 H 0.98
O: 0.1422 0.0639 0.0684 (multiplicity 8)  1 H 0.99
O: 0.1756 0.4110 0.4760 (multiplicity 8)  1 H 0.98
O: 0.2111 0.0801 0.8795 (multiplicity 8)  1 H 1.02
O: 0.2236 0.4125 0.2998 (multiplicity 8)  1 H 0.98